[1]
First-principles (GGA-PBE) data for a relaxed Sc3GeC crystal, as listed in Alexandria.

abc: 7.5406 7.5407 3.3399
angles: 90.00 90.00 71.93
Each line ends with the local moment (μB).
Sites, in units of the cell vectors:
Sc1 0.4419 0.3961 0.0975  0.27
Sc2 0.2134 0.7630 0.5976  0.15
Sc3 0.8401 0.7942 0.0976  0.27
Sc4 0.8088 0.1676 0.5975  0.15
Sc5 0.0686 0.4272 0.5976  0.15
Sc6 0.4731 0.0227 0.5975  0.15
C1 0.6410 0.0951 0.0975  -0.01
C2 0.1410 0.5951 0.0976  -0.01
Ge1 0.1409 0.0951 0.0974  -0.02
Ge2 0.6410 0.5952 0.5973  0.00

## Properties
Crystal system: orthorhombic
Calculated volume (Å³/atom): 18.05
DFT formation energy (meV per atom): -626

=====

[2]
First-principles (GGA-PBE) data for a relaxed Sc3GeC crystal, as listed in Alexandria.

abc: 7.0704 7.0704 7.0704
angles: 55.37 55.37 55.37
Each line ends with the local moment (μB).
Sites, in units of the cell vectors:
Sc1 0.9353 0.5647 0.2500  0.23
Sc2 0.5647 0.2500 0.9353  0.18
Sc3 0.2500 0.9353 0.5647  0.15
Sc4 0.7500 0.0647 0.4353  0.15
Sc5 0.4353 0.7500 0.0647  0.18
Sc6 0.0647 0.4353 0.7500  0.23
Ge1 0.0000 0.0000 0.0000  0.00
Ge2 0.5000 0.5000 0.5000  0.00
C1 0.2500 0.2500 0.2500  -0.03
C2 0.7500 0.7500 0.7500  -0.03

## Properties
Crystal system: trigonal
Calculated volume (Å³/atom): 22.30
DFT formation energy (meV per atom): -84

=====

[3]
First-principles (GGA-PBE) data for a relaxed Sc12Ge6C crystal, as listed in Alexandria.

abc: 7.6167 7.6167 7.6167
angles: 98.68 98.68 98.68
Sites, in units of the cell vectors:
Sc1 0.8121 0.5681 0.4324
Sc2 0.4324 0.8121 0.5681
Sc3 0.5681 0.4324 0.8121
Sc4 0.1879 0.4319 0.5676
Sc5 0.5676 0.1879 0.4319
Sc6 0.4319 0.5676 0.1879
Sc7 0.0643 0.9698 0.3021
Sc8 0.0302 0.6979 0.9357
Sc9 0.6979 0.9357 0.0302
Sc10 0.9357 0.0302 0.6979
Sc11 0.9698 0.3021 0.0643
Sc12 0.3021 0.0643 0.9698
Ge1 0.7069 0.8751 0.3808
Ge2 0.6192 0.2931 0.1249
Ge3 0.1249 0.6192 0.2931
Ge4 0.2931 0.1249 0.6192
Ge5 0.3808 0.7069 0.8751
Ge6 0.8751 0.3808 0.7069
C1 0.0000 0.0000 0.0000

## Properties
Crystal system: trigonal
Calculated volume (Å³/atom): 22.37
DFT formation energy (meV per atom): -544

=====

[4]
First-principles (GGA-PBE) data for a relaxed Sc7Ge2C2 crystal, as listed in Alexandria.

abc: 5.9109 5.9653 5.9109
angles: 90.00 106.49 90.00
Each line ends with the local moment (μB).
Sites, in units of the cell vectors:
Sc1 0.0000 0.2423 0.5000  0.07
Sc2 0.5000 0.7577 0.0000  0.07
Sc3 0.0000 0.7577 0.5000  0.07
Sc4 0.5000 0.2423 0.0000  0.07
Sc5 0.0000 0.0000 0.0000  0.00
Sc6 0.5000 0.7709 0.5000  0.21
Sc7 0.5000 0.2291 0.5000  0.21
Ge1 0.8193 0.5000 0.8193  0.00
Ge2 0.1807 0.5000 0.1807  0.00
C1 0.7299 0.0000 0.2701  -0.01
C2 0.2701 0.0000 0.7299  -0.01

## Properties
Crystal system: orthorhombic
Calculated volume (Å³/atom): 18.17
DFT formation energy (meV per atom): -393

=====

[5]
First-principles (GGA-PBE) data for a relaxed ScGeC3 crystal, as listed in Alexandria.

abc: 4.2363 4.2363 4.2363
angles: 90.00 90.00 90.00
Sites, in units of the cell vectors:
Sc1 0.0000 0.0000 0.0000
Ge1 0.5000 0.5000 0.5000
C1 0.0000 0.5000 0.0000
C2 0.0000 0.0000 0.5000
C3 0.5000 0.0000 0.0000

## Properties
Crystal system: cubic
Calculated volume (Å³/atom): 15.20
DFT formation energy (meV per atom): 2371
Energy relative to the lowest polymorph listed for this composition (eV per formula unit): 2.91

=====

[6]
First-principles (GGA-PBE) data for a relaxed Sc5Ge2C crystal, as listed in Alexandria.

abc: 4.6960 5.5666 13.4163
angles: 90.00 90.00 114.95
Sites, in units of the cell vectors:
Sc1 0.8993 0.7987 0.8698
Sc2 0.8993 0.7987 0.6302
Sc3 0.3994 0.7988 0.3698
Sc4 0.3994 0.7988 0.1302
Sc5 0.7501 0.5002 0.2500
Sc6 0.2499 0.4998 0.7500
Sc7 0.6006 0.2012 0.6302
Sc8 0.6006 0.2012 0.8698
Sc9 0.1007 0.2013 0.1302
Sc10 0.1007 0.2013 0.3698
Ge1 0.7499 0.4998 0.4489
Ge2 0.7499 0.4998 0.0511
Ge3 0.2501 0.5002 0.5511
Ge4 0.2501 0.5002 0.9489
C1 0.7500 0.4999 0.7500
C2 0.2500 0.5001 0.2500

## Properties
Crystal system: orthorhombic
Calculated volume (Å³/atom): 19.87
DFT formation energy (meV per atom): -438

=====

[7]
First-principles (GGA-PBE) data for a relaxed ScGeC3 crystal, as listed in Alexandria.

abc: 3.9297 3.9297 3.9297
angles: 90.00 90.00 90.00
Sites, in units of the cell vectors:
Sc1 0.5000 0.5000 0.5000
Ge1 0.0000 0.0000 0.0000
C1 0.0000 0.5000 0.0000
C2 0.0000 0.0000 0.5000
C3 0.5000 0.0000 0.0000

## Properties
Crystal system: cubic
Calculated volume (Å³/atom): 12.14
DFT formation energy (meV per atom): 1788
Energy relative to the lowest polymorph listed for this composition (eV per formula unit): 0.00

=====

[8]
First-principles (GGA-PBE) data for a relaxed Sc3GeC crystal, as listed in Alexandria.

abc: 4.1948 4.1948 14.0526
angles: 90.00 90.00 120.00
Each line ends with the local moment (μB).
Sites, in units of the cell vectors:
Sc1 0.0000 0.0000 0.2500  0.02
Sc2 0.0000 0.0000 0.7500  0.02
Sc3 0.3333 0.6667 0.9361  0.17
Sc4 0.3333 0.6667 0.5639  0.17
Sc5 0.6667 0.3333 0.4361  0.17
Sc6 0.6667 0.3333 0.0639  0.17
Ge1 0.3333 0.6667 0.7500  -0.01
Ge2 0.6667 0.3333 0.2500  -0.01
C1 0.0000 0.0000 0.0000  -0.04
C2 0.0000 0.0000 0.5000  -0.04

## Properties
Crystal system: hexagonal
Calculated volume (Å³/atom): 21.41
DFT formation energy (meV per atom): 143

=====

[9]
First-principles (GGA-PBE) data for a relaxed Sc3GeC crystal, as listed in Alexandria.

abc: 13.4820 7.7326 7.7326
angles: 106.56 135.17 44.83
Sites, in units of the cell vectors:
Sc1 0.3753 0.4123 0.3937
Sc2 0.1247 0.8937 0.9123
Sc3 0.6247 0.5877 0.6063
Sc4 0.8753 0.1063 0.0877
Sc5 0.1853 0.2094 0.1478
Sc6 0.3147 0.6478 0.7094
Sc7 0.8147 0.7906 0.8522
Sc8 0.6853 0.3522 0.2906
Sc9 0.4092 0.1578 0.7216
Sc10 0.0908 0.2216 0.6578
Sc11 0.5908 0.8422 0.2784
Sc12 0.9092 0.7784 0.3422
Ge1 0.7500 0.0795 0.5795
Ge2 0.2500 0.9205 0.4205
Ge3 0.7500 0.5841 0.0841
Ge4 0.2500 0.4159 0.9159
C1 0.1288 0.5618 0.3207
C2 0.3712 0.8207 0.0618
C3 0.8712 0.4382 0.6793
C4 0.6288 0.1793 0.9382

## Properties
Crystal system: monoclinic
Calculated volume (Å³/atom): 18.00
DFT formation energy (meV per atom): -479

=====

[10]
First-principles (GGA-PBE) data for a relaxed Sc3GeC crystal, as listed in Alexandria.

abc: 14.0042 5.8699 5.8699
angles: 148.48 132.57 47.43
Sites, in units of the cell vectors:
Sc1 0.3766 0.6485 0.3515
Sc2 0.6234 0.3515 0.6485
Sc3 0.0917 0.2925 0.7075
Sc4 0.9083 0.7075 0.2925
Sc5 0.6308 0.6031 0.3969
Sc6 0.3692 0.3969 0.6031
Ge1 0.8560 0.0134 0.9866
Ge2 0.1440 0.9866 0.0134
C1 0.5125 0.1115 0.8885
C2 0.4875 0.8885 0.1115

## Properties
Crystal system: monoclinic
Calculated volume (Å³/atom): 17.94
DFT formation energy (meV per atom): -421

=====

[11]
First-principles (GGA-PBE) data for a relaxed Sc3GeC crystal, as listed in Alexandria.

abc: 4.1376 4.1376 13.7314
angles: 90.00 90.00 120.00
Sites, in units of the cell vectors:
Sc1 0.0000 0.0000 0.2500
Sc2 0.0000 0.0000 0.7500
Sc3 0.3333 0.6667 0.9101
Sc4 0.3333 0.6667 0.5899
Sc5 0.6667 0.3333 0.4101
Sc6 0.6667 0.3333 0.0899
Ge1 0.0000 0.0000 0.0000
Ge2 0.0000 0.0000 0.5000
C1 0.3333 0.6667 0.7500
C2 0.6667 0.3333 0.2500

## Properties
Crystal system: hexagonal
Calculated volume (Å³/atom): 20.36
DFT formation energy (meV per atom): -400

=====

Results for DFT total energy: -7.19, -6.65, -6.49, -6.94, -5.35, -6.70, -5.94, -6.42, -7.05, -6.99, -6.97 (in eV per atom, following the order of the records).